Run 1
DFT (GGA-PBE) results for a relaxed Tm6Sc3Tl crystal. Values from VASP.

Values from the calculation:
Space-group type: P2_1/m

Structure (Quantum ESPRESSO input):
```
&SYSTEM
  ibrav = 0, nat = 20, ntyp = 3
/
ATOMIC_SPECIES
Sc 44.96 Sc.upf
Tm 168.93 Tm.upf
Tl 204.38 Tl.upf
ATOMIC_POSITIONS crystal
Sc 0.7500 0.2507 0.9913
Tm 0.7500 0.3528 0.3011
Tm 0.2500 0.0495 0.8976
Tm 0.2500 0.2473 0.4995
Tm 0.2500 0.8531 0.3068
Tm 0.7500 0.9505 0.1024
Sc 0.2500 0.7493 0.0087
Sc 0.2500 0.3486 0.7973
Tm 0.7500 0.1469 0.6932
Tm 0.7500 0.8438 0.8093
Sc 0.7500 0.6514 0.2027
Tm 0.2500 0.1562 0.1907
Tm 0.7500 0.7527 0.5005
Tl 0.2500 0.9445 0.6084
Sc 0.2500 0.5491 0.3989
Tm 0.2500 0.4522 0.1006
Tm 0.7500 0.5478 0.8994
Tl 0.7500 0.0555 0.3916
Sc 0.7500 0.4509 0.6011
Tm 0.2500 0.6472 0.6989
CELL_PARAMETERS angstrom
4.8301 0.0000 0.0000
0.0000 10.5891 -0.2541
0.0000 0.0079 10.8124
```

=====

Run 2
DFT (GGA-PBE) results for a relaxed Tm6Sc3Tl crystal. Values from VASP.

Values from the calculation:
Space-group type: P2_1/m

Structure (Quantum ESPRESSO input):
```
&SYSTEM
  ibrav = 0, nat = 20, ntyp = 3
/
ATOMIC_SPECIES
Sc 44.96 Sc.upf
Tm 168.93 Tm.upf
Tl 204.38 Tl.upf
ATOMIC_POSITIONS crystal
Sc 0.7500 0.3932 0.9018
Tm 0.2500 0.1269 0.2813
Tm 0.2500 0.1418 0.8974
Tm 0.2500 0.3410 0.6956
Tm 0.7500 0.1207 0.4768
Tl 0.7500 0.1208 0.6994
Tm 0.7500 0.8731 0.7187
Tm 0.7500 0.5936 0.7062
Tm 0.2500 0.8793 0.5232
Tm 0.2500 0.4064 0.2938
Tm 0.7500 0.8582 0.1026
Tm 0.7500 0.6590 0.3044
Tl 0.2500 0.8792 0.3006
Tm 0.7500 0.3801 0.0994
Sc 0.7500 0.6168 0.4951
Tm 0.2500 0.6199 0.9006
Sc 0.2500 0.8803 0.9126
Sc 0.7500 0.1197 0.0874
Sc 0.2500 0.3832 0.5049
Sc 0.2500 0.6068 0.0982
CELL_PARAMETERS angstrom
-2.6758 1.2830 -1.7269
-7.2146 -1.7570 9.8737
7.5764 13.2271 -1.9130
```

=====

Most stable: run 1 (next structure +1.8 kJ/mol of atoms)